[1]
## Rb2TlTeBr6 (PBE-GGA)

Data for crystalline Rb2TlTeBr6 at its relaxed geometry.

a b c (Å): 8.605 7.948 8.748
angles (deg): 60.89 57.96 60.63
Fractional coordinates of all 10 atoms:
Br 0.582 0.121 0.295
Br 0.649 0.118 0.787
Br 0.004 0.542 0.261
Br 0.452 0.654 0.808
Br 0.195 0.990 0.232
Br 0.083 0.512 0.766
Rb 0.532 0.535 0.389
Rb 0.016 0.053 0.901
Te 0.325 0.322 0.032
Tl 0.825 0.815 0.543

Computed properties:
The space group is P1. The formation energy (no corrections) comes out at -966 meV per atom.


[2]
## CsGaTe (PBE-GGA)

Data for crystalline CsGaTe at its relaxed geometry.

a b c (Å): 4.733 4.733 6.386
angles (deg): 90.00 90.00 120.00
Fractional coordinates of all 3 atoms:
Te 0.000 0.000 0.543
Cs 0.667 0.333 0.957
Ga 0.333 0.667 0.350

Computed properties:
The value obtained for the excess energy over the best structure of this formula in the dataset is 0.20 eV per formula unit. The space group is P3m1. The formation energy (no corrections) comes out at -555 meV per atom.


[3]
## RbMg2GaPd (PBE-GGA)

Data for crystalline RbMg2GaPd at its relaxed geometry.

a b c (Å): 5.220 5.220 4.946
angles (deg): 90.00 90.00 90.00
Fractional coordinates of all 5 atoms:
Ga 0.000 0.000 0.500
Mg 0.500 0.000 0.000
Mg 0.000 0.500 0.000
Pd 0.000 0.000 0.000
Rb 0.500 0.500 0.500

Computed properties:
As for the raw total energy: -2.6805 eV per atom. The space group is P4/mmm.


[4]
## Ta2RePt (PBE-GGA)

Data for crystalline Ta2RePt at its relaxed geometry.

a b c (Å): 9.680 9.680 9.680
angles (deg): 16.88 16.88 16.88
Fractional coordinates of all 4 atoms:
Re 0.750 0.750 0.750
Ta 0.501 0.501 0.501
Ta 0.999 0.999 0.999
Pt 0.250 0.250 0.250

Computed properties:
As for the raw total energy: -10.5993 eV per atom. The space group is R-3m.


[5]
## LaHf3Te (PBE-GGA)

Data for crystalline LaHf3Te at its relaxed geometry.

a b c (Å): 5.324 5.324 5.324
angles (deg): 90.00 90.00 90.00
Fractional coordinates of all 5 atoms:
La 0.500 0.500 0.500
Hf 0.000 0.000 0.500
Hf 0.500 0.000 0.000
Hf 0.000 0.500 0.000
Te 0.000 0.000 0.000

Computed properties:
The value obtained for the excess energy over the best structure of this formula in the dataset is 0.00 eV per formula unit. The space group is Pm-3m. The formation energy (no corrections) comes out at 515 meV per atom.


[6]
## Hf4PaTc5 (PBE-GGA)

Data for crystalline Hf4PaTc5 at its relaxed geometry.

a b c (Å): 3.315 3.315 16.351
angles (deg): 90.00 90.00 90.00
Fractional coordinates of all 10 atoms:
Hf 0.000 0.000 0.793
Hf 0.000 0.000 0.402
Hf 0.000 0.000 0.598
Hf 0.000 0.000 0.207
Tc 0.500 0.500 0.901
Tc 0.500 0.500 0.699
Tc 0.500 0.500 0.500
Tc 0.500 0.500 0.301
Tc 0.500 0.500 0.099
Pa 0.000 0.000 0.000

Computed properties:
As for the raw total energy: -10.5499 eV per atom. The space group is P4/mmm.


[7]
## MnMo2Cl (PBE-GGA)

Data for crystalline MnMo2Cl at its relaxed geometry.

a b c (Å): 2.796 2.796 8.465
angles (deg): 90.00 90.00 112.83
Last column: magnetic moment on the atom in μB.
Fractional coordinates of all 4 atoms:
Mo 0.000 0.000 0.986  -0.30
Mo 0.000 0.000 0.514  -0.30
Cl 0.500 0.500 0.250  -0.01
Mn 0.500 0.500 0.750  1.99

Computed properties:
The value obtained for the excess energy over the best structure of this formula in the dataset is 1.14 eV per formula unit. The space group is Cmmm. The formation energy (no corrections) comes out at 457 meV per atom.


[8]
## Li2ZrF5 (PBE-GGA)

Data for crystalline Li2ZrF5 at its relaxed geometry.

a b c (Å): 3.436 4.861 11.460
angles (deg): 90.00 90.00 90.00
Last column: magnetic moment on the atom in μB.
Fractional coordinates of all 16 atoms:
F 0.500 0.594 0.834  0.00
F 0.500 0.998 0.609  0.01
F 0.000 0.002 0.891  0.01
F 0.000 0.002 0.109  0.01
F 0.000 0.533 0.000  0.01
F 0.500 0.998 0.391  0.01
F 0.000 0.406 0.334  0.00
F 0.500 0.594 0.166  0.00
F 0.500 0.467 0.500  0.01
F 0.000 0.406 0.666  0.00
Zr 0.500 0.817 0.000  0.70
Zr 0.000 0.183 0.500  0.70
Li 0.500 0.625 0.663  0.00
Li 0.500 0.625 0.337  0.00
Li 0.000 0.375 0.163  0.00
Li 0.000 0.375 0.837  0.00

Computed properties:
The space group is Pmmn. The formation energy (no corrections) comes out at -3106 meV per atom.


[9]
## Ti3Ga2Au3 (PBE-GGA)

Data for crystalline Ti3Ga2Au3 at its relaxed geometry.

a b c (Å): 4.086 4.190 8.578
angles (deg): 107.80 103.78 90.00
Last column: magnetic moment on the atom in μB.
Fractional coordinates of all 8 atoms:
Au 0.365 0.849 0.730  0.00
Au 0.500 0.500 0.000  0.01
Au 0.635 0.151 0.270  0.00
Ga 0.753 0.771 0.506  0.00
Ga 0.247 0.229 0.494  0.00
Ti 0.879 0.396 0.759  0.16
Ti 0.000 0.000 0.000  0.32
Ti 0.121 0.604 0.241  0.16

Computed properties:
As for the raw total energy: -5.2265 eV per atom. The space group is C2/m.


[10]
## Ca2Zn3GaCu4 (PBE-GGA)

Data for crystalline Ca2Zn3GaCu4 at its relaxed geometry.

a b c (Å): 4.294 4.294 9.805
angles (deg): 90.00 90.00 90.00
Fractional coordinates of all 10 atoms:
Zn 0.000 0.000 0.500
Zn 0.000 0.500 0.125
Zn 0.500 0.000 0.875
Ca 0.500 0.000 0.246
Ca 0.000 0.500 0.754
Cu 0.500 0.500 0.000
Cu 0.000 0.500 0.372
Cu 0.000 0.000 0.000
Cu 0.500 0.000 0.628
Ga 0.500 0.500 0.500

Computed properties:
As for the raw total energy: -2.9177 eV per atom. The space group is P-4m2.